Na4ZnP6H12O24: optimized geometry, PBE.

The calculation puts the volume at 10.39 Å³/atom. The density is 2.5 g/cm³. Its symmetry is P-1. For the electronic total energy, the calculation gives -0.4366 Ry per atom.

abc: 7.117 8.976 9.115
angles: 63.86 73.02 71.79
Fractional coordinates of all 47 atoms:
H  0.740  0.014  0.018
H  0.530  0.402  0.161
H  0.702  0.067  0.167
H  0.343  0.349  0.296
H  0.679  0.713  0.410
H  0.802  0.819  0.434
H  0.198  0.181  0.566
H  0.321  0.287  0.590
H  0.657  0.651  0.704
H  0.298  0.933  0.833
H  0.470  0.598  0.839
H  0.260  0.986  0.982
Na  0.634  0.724  0.007
Na  0.156  0.670  0.085
Na  0.844  0.330  0.915
Na  0.366  0.276  0.993
O  0.666  0.107  0.056
O  0.110  0.134  0.066
O  0.771  0.432  0.128
O  0.390  0.394  0.174
O  0.539  0.733  0.279
O  0.938  0.512  0.289
O  0.020  0.214  0.316
O  0.850  0.000  0.320
O  0.187  0.672  0.334
O  0.224  0.941  0.341
O  0.668  0.335  0.436
O  0.757  0.707  0.489
O  0.243  0.293  0.511
O  0.332  0.665  0.564
O  0.776  0.059  0.659
O  0.813  0.328  0.666
O  0.150  0.000  0.680
O  0.980  0.786  0.684
O  0.062  0.488  0.711
O  0.461  0.267  0.721
O  0.610  0.606  0.826
O  0.229  0.568  0.872
O  0.890  0.866  0.934
O  0.334  0.893  0.944
P  0.038  0.067  0.251
P  0.849  0.385  0.281
P  0.326  0.746  0.367
P  0.674  0.254  0.633
P  0.151  0.615  0.719
P  0.962  0.933  0.749
Zn  0.000  0.500  0.500

=====

Na2ZnP2H10O12: optimized geometry, PBE.

The calculation puts the volume at 9.31 Å³/atom. The density is 2.5 g/cm³. Its symmetry is P2_1/c. For the electronic total energy, the calculation gives -0.4056 Ry per atom.

abc: 8.715 12.992 9.944
angles: 90.00 116.79 90.00
Fractional coordinates of all 108 atoms:
H  0.958  0.651  0.011
H  0.748  0.351  0.048
H  0.468  0.297  0.071
H  0.577  0.633  0.073
H  0.579  0.894  0.077
H  0.972  0.416  0.080
H  0.443  0.828  0.102
H  0.777  0.017  0.137
H  0.772  0.441  0.162
H  0.511  0.148  0.234
H  0.489  0.648  0.266
H  0.228  0.941  0.338
H  0.223  0.517  0.363
H  0.557  0.328  0.398
H  0.028  0.916  0.420
H  0.421  0.394  0.423
H  0.423  0.133  0.427
H  0.532  0.797  0.429
H  0.252  0.851  0.452
H  0.042  0.151  0.489
H  0.958  0.849  0.511
H  0.748  0.149  0.548
H  0.468  0.203  0.571
H  0.577  0.867  0.573
H  0.579  0.606  0.577
H  0.972  0.084  0.580
H  0.443  0.672  0.602
H  0.777  0.483  0.637
H  0.772  0.059  0.662
H  0.511  0.352  0.734
H  0.489  0.852  0.766
H  0.228  0.559  0.838
H  0.223  0.983  0.863
H  0.557  0.172  0.898
H  0.028  0.584  0.920
H  0.421  0.106  0.923
H  0.423  0.367  0.927
H  0.532  0.703  0.929
H  0.252  0.649  0.952
H  0.042  0.349  0.989
Na  0.332  0.464  0.136
Na  0.814  0.777  0.197
Na  0.186  0.277  0.303
Na  0.668  0.964  0.364
Na  0.332  0.036  0.636
Na  0.814  0.723  0.697
Na  0.186  0.223  0.803
Na  0.668  0.536  0.864
O  0.626  0.662  0.009
O  0.743  0.936  0.029
O  0.757  0.215  0.045
O  0.764  0.426  0.061
O  0.078  0.383  0.087
O  0.131  0.145  0.130
O  0.554  0.863  0.156
O  0.207  0.956  0.164
O  0.064  0.737  0.173
O  0.612  0.220  0.213
O  0.798  0.066  0.227
O  0.561  0.588  0.244
O  0.439  0.088  0.256
O  0.202  0.566  0.273
O  0.388  0.720  0.287
O  0.936  0.237  0.327
O  0.793  0.456  0.336
O  0.446  0.363  0.344
O  0.869  0.645  0.370
O  0.922  0.883  0.413
O  0.236  0.926  0.439
O  0.243  0.715  0.455
O  0.257  0.436  0.471
O  0.374  0.162  0.491
O  0.626  0.838  0.509
O  0.743  0.564  0.529
O  0.757  0.285  0.545
O  0.764  0.074  0.561
O  0.078  0.117  0.587
O  0.131  0.355  0.630
O  0.554  0.637  0.656
O  0.207  0.544  0.664
O  0.064  0.763  0.673
O  0.612  0.280  0.713
O  0.798  0.434  0.727
O  0.561  0.912  0.744
O  0.439  0.412  0.756
O  0.202  0.934  0.773
O  0.388  0.780  0.787
O  0.936  0.263  0.827
O  0.793  0.044  0.836
O  0.446  0.137  0.844
O  0.869  0.855  0.870
O  0.922  0.617  0.913
O  0.236  0.574  0.939
O  0.243  0.785  0.955
O  0.257  0.064  0.971
O  0.374  0.338  0.991
P  0.255  0.062  0.124
P  0.774  0.185  0.202
P  0.226  0.685  0.298
P  0.745  0.562  0.376
P  0.255  0.438  0.624
P  0.774  0.315  0.702
P  0.226  0.815  0.798
P  0.745  0.938  0.876
Zn  0.094  0.838  0.040
Zn  0.906  0.338  0.460
Zn  0.094  0.662  0.540
Zn  0.906  0.162  0.960